Compound: CePaP3
Source: Alexandria via LeMat-Bulk
Functional: PBE
Structure: optimized geometry

It has space group Pmmn (No. 59, origin choice 2), with a = 4.1712 Å, b = 5.8921 Å, c = 9.1450 Å, α = 90.00°, β = 90.00° and γ = 90.00°. The asymmetric unit holds Ce at (0.2500, 0.2500, 0.1316), Pa at (0.2500, 0.7500, 0.3829), P at (0.2500, 0.5527, 0.6687) and P at (0.2500, 0.7500, 0.0799).

As for the formation energy: -5.404 eV/f.u. The total energy is -0.545 Ry per atom. As for the crystal system: orthorhombic.